(a)
TlCdW2: relaxed, PBE.

The space group is I-4m2 (No. 119) and the conventional cell measures 4.293, 4.293 and 8.042 Å, with angles of 90.00, 90.00 and 90.00 degrees. The distinct sites, in fractional coordinates, are Tl at (0.000, 0.000, 0.000), Cd at (0.000, 0.500, 0.250), W at (0.000, 0.000, 0.500) and W at (0.000, 0.500, 0.750).

The density of states at the Fermi level is 2.58 states/eV/f.u. The density comes out at 15.34 g cm⁻³.

=====

(b)
TlCdW2: relaxed, PBE.

The space group is Fm-3m (No. 225) and the conventional cell measures 6.641, 6.641 and 6.641 Å, with angles of 90.00, 90.00 and 90.00 degrees. The distinct sites, in fractional coordinates, are Tl at (0.000, 0.000, 0.000), Cd at (0.000, 0.000, 0.500) and W at (0.250, 0.250, 0.250).

The density of states at the Fermi level is 3.90 states/eV/f.u. The density comes out at 15.53 g cm⁻³.

=====

It is (a) that is most stable; the runner-up trails by 311 meV per atom.

=====

(a)
TlCdW2: relaxed, PBE.

The space group is Cmmm (No. 65) and the conventional cell measures 5.654, 9.366 and 2.833 Å, with angles of 90.00, 90.00 and 90.00 degrees. The distinct sites, in fractional coordinates, are Tl at (0.000, 0.000, 0.000), Cd at (0.000, 0.500, 0.000) and W at (0.250, 0.250, 0.500).

The density of states at the Fermi level is 4.13 states/eV/f.u. The density comes out at 15.15 g cm⁻³.

=====

(b)
TlCdW2: relaxed, PBE.

The space group is C2/m (No. 12) and the conventional cell measures 5.778, 9.878 and 2.883 Å, with angles of 90.00, 114.23 and 90.00 degrees. The distinct sites, in fractional coordinates, are Tl at (0.000, 0.000, 0.000), Cd at (0.000, 0.500, 0.000) and W at (0.250, 0.250, 0.500).

The density of states at the Fermi level is 2.32 states/eV/f.u. The density comes out at 15.15 g cm⁻³.

=====

It is (b) that is most stable; the runner-up trails by 98 meV per atom.

=====

(a)
TlCdW2: relaxed, PBE.

The space group is Pmmm (No. 47) and the conventional cell measures 3.252, 4.718 and 4.863 Å, with angles of 90.00, 90.00 and 90.00 degrees. The distinct sites, in fractional coordinates, are Tl at (0.000, 0.000, 0.000), Cd at (0.500, 0.500, 0.000), W at (0.000, 0.500, 0.500) and W at (0.500, 0.000, 0.500).

The density of states at the Fermi level is 2.67 states/eV/f.u. The density comes out at 15.23 g cm⁻³.

=====

(b)
TlCdW2: relaxed, PBE.

The space group is P4/mmm (No. 123) and the conventional cell measures 3.271, 3.271 and 6.929 Å, with angles of 90.00, 90.00 and 90.00 degrees. The distinct sites, in fractional coordinates, are Tl at (0.000, 0.000, 0.000), Cd at (0.000, 0.000, 0.500) and W at (0.500, 0.500, 0.231).

The density of states at the Fermi level is 1.58 states/eV/f.u. The density comes out at 15.33 g cm⁻³.

=====

(c)
TlCdW2: relaxed, PBE.

The space group is Imm2 (No. 44) and the conventional cell measures 3.317, 4.887 and 9.730 Å, with angles of 90.00, 90.00 and 90.00 degrees. The distinct sites, in fractional coordinates, are Tl at (0.000, 0.000, 0.000), Cd at (0.000, 0.500, 0.226), W at (0.000, 0.000, 0.458) and W at (0.000, 0.500, 0.766).

The density of states at the Fermi level is 2.75 states/eV/f.u. The density comes out at 14.41 g cm⁻³.

=====

It is (c) that is most stable; the runner-up trails by 84 meV per atom.

=====

(a)
TlCdW2: relaxed, PBE.

The space group is Cm (No. 8) and the conventional cell measures 9.893, 2.842 and 5.376 Å, with angles of 90.00, 94.89 and 90.00 degrees. The distinct sites, in fractional coordinates, are Tl at (0.000, 0.000, 0.000), Cd at (0.247, 0.000, 0.768), W at (0.003, 0.500, 0.488) and W at (0.248, 0.500, 0.290).

The density of states at the Fermi level is 2.70 states/eV/f.u. The density comes out at 15.10 g cm⁻³.

=====

(b)
TlCdW2: relaxed, PBE.

The space group is P2/m (No. 10) and the conventional cell measures 2.901, 4.929 and 5.329 Å, with angles of 90.00, 94.32 and 90.00 degrees. The distinct sites, in fractional coordinates, are Tl at (0.000, 0.000, 0.000), Cd at (0.500, 0.000, 0.500) and W at (0.190, 0.500, 0.731).

The density of states at the Fermi level is 2.31 states/eV/f.u. The density comes out at 14.96 g cm⁻³.

=====

(c)
TlCdW2: relaxed, PBE.

The space group is I-42d (No. 122) and the conventional cell measures 7.652, 7.652 and 5.571 Å, with angles of 90.00, 90.00 and 90.00 degrees. The distinct sites, in fractional coordinates, are Tl at (0.000, 0.000, 0.000), Cd at (0.000, 0.000, 0.500) and W at (0.249, 0.250, 0.625).

The density of states at the Fermi level is 6.62 states/eV/f.u. The density comes out at 13.94 g cm⁻³.

=====

(d)
TlCdW2: relaxed, PBE.

The space group is F-43m (No. 216) and the conventional cell measures 6.688, 6.688 and 6.688 Å, with angles of 90.00, 90.00 and 90.00 degrees. The distinct sites, in fractional coordinates, are Tl at (0.000, 0.000, 0.000), Cd at (0.250, 0.250, 0.750), W at (0.000, 0.000, 0.500) and W at (0.250, 0.250, 0.250).

The density of states at the Fermi level is 4.48 states/eV/f.u. The density comes out at 15.19 g cm⁻³.

=====

It is (b) that is most stable; the runner-up trails by 15 meV per atom.

=====

(a)
YTlCd4: relaxed, PBE.

The space group is F-43m (No. 216) and the conventional cell measures 8.438, 8.438 and 8.438 Å, with angles of 90.00, 90.00 and 90.00 degrees. The distinct sites, in fractional coordinates, are Y at (0.000, 0.000, 0.000), Tl at (0.250, 0.250, 0.250) and Cd at (0.125, 0.125, 0.625).

The density of states at the Fermi level is 2.51 states/eV/f.u. The density comes out at 8.21 g cm⁻³.

=====

(b)
YTlCd4: relaxed, PBE.

The space group is P2_1/m (No. 11) and the conventional cell measures 6.509, 5.062 and 9.510 Å, with angles of 90.00, 109.40 and 90.00 degrees. The distinct sites, in fractional coordinates, are Y at (0.121, 0.250, 0.245), Tl at (0.384, 0.750, 0.764), Cd at (0.040, 0.250, 0.581), Cd at (0.197, 0.250, 0.915), Cd at (0.280, 0.750, 0.086) and Cd at (0.456, 0.750, 0.420).

The density of states at the Fermi level is 3.93 states/eV/f.u. The density comes out at 8.35 g cm⁻³.

=====

It is (b) that is most stable; the runner-up trails by 84 meV per atom.

=====

(a)
Y2TlCd2: relaxed, PBE.

The space group is C2/m (No. 12) and the conventional cell measures 11.315, 5.020 and 9.907 Å, with angles of 90.00, 110.96 and 90.00 degrees. The distinct sites, in fractional coordinates, are Y at (0.043, 0.000, 0.343), Y at (0.169, 0.000, 0.064), Tl at (0.242, 0.500, 0.294), Cd at (0.032, 0.500, 0.868) and Cd at (0.133, 0.500, 0.576).

The density of states at the Fermi level is 4.04 states/eV/f.u. The density comes out at 7.67 g cm⁻³.

=====

(b)
Y2TlCd2: relaxed, PBE.

The space group is P4/mbm (No. 127) and the conventional cell measures 7.693, 7.693 and 4.507 Å, with angles of 90.00, 90.00 and 90.00 degrees. The distinct sites, in fractional coordinates, are Y at (0.169, 0.331, 0.000), Tl at (0.000, 0.000, 0.500) and Cd at (0.130, 0.630, 0.500).

The density of states at the Fermi level is 3.92 states/eV/f.u. The density comes out at 7.56 g cm⁻³.

=====

(c)
Y2TlCd2: relaxed, PBE.

The space group is I4/mmm (No. 139) and the conventional cell measures 3.937, 3.937 and 18.438 Å, with angles of 90.00, 90.00 and 90.00 degrees. The distinct sites, in fractional coordinates, are Y at (0.000, 0.000, 0.101), Tl at (0.000, 0.000, 0.500) and Cd at (0.000, 0.500, 0.250).

The density of states at the Fermi level is 4.65 states/eV/f.u. The density comes out at 7.05 g cm⁻³.

=====

It is (a) that is most stable; the runner-up trails by 6 meV per atom.